RbNaLa GGA-PBE relaxed; formation energy = 291.2 meV/atom; E = -12.7 eV per cell
1.0
21.390 0.000 0.000
0.000 1.945 3.366
0.000 -1.945 3.366
Rb Na La
2 2 2
Direct
0.175 0.000 0.000
0.825 0.000 0.000
0.000 0.681 0.681
0.500 0.990 0.990
0.353 0.657 0.657
0.647 0.657 0.657